1.
Density functional theory data (GGA-PBE) for a geometry-optimized AlSiIr3 structure. Values from VASP.

Cell and atoms, written as Quantum ESPRESSO input:
```
&SYSTEM
  ibrav = 0, nat = 5, ntyp = 3
/
ATOMIC_SPECIES
Al 26.98 Al.upf
Si 28.09 Si.upf
Ir 192.22 Ir.upf
CELL_PARAMETERS angstrom
4.401 0.000 0.000
0.000 4.401 0.000
0.000 0.000 4.401
ATOMIC_POSITIONS crystal
Al 0.000 0.000 0.000
Si 0.500 0.500 0.500
Ir 0.000 0.500 0.500
Ir 0.500 0.000 0.500
Ir 0.500 0.500 0.000
```

Values from the calculation:
- Crystal system: cubic
- Uncorrected energy: -33.58 eV for the cell shown
- Energy relative to the elements, uncorrected: 0.43 eV/atom
- ρ: 12.3 Mg/m³
- Total moment: 0.000 μB/atom
- Space group: No. 221
- Polymorph energy (0 for the lowest one): 0.00 kcal/mol of atoms

=====

2.
Density functional theory data (GGA-PBE) for a geometry-optimized RuSN structure. Values from VASP.

Cell and atoms, written as Quantum ESPRESSO input:
```
&SYSTEM
  ibrav = 0, nat = 12, ntyp = 3
/
ATOMIC_SPECIES
Ru 101.07 Ru.upf
S 32.06 S.upf
N 14.01 N.upf
CELL_PARAMETERS angstrom
4.969 0.000 0.000
0.000 4.268 0.000
-1.240 0.000 7.267
ATOMIC_POSITIONS crystal
Ru 0.172 0.000 0.153
Ru 0.328 0.500 0.847
Ru 0.672 0.500 0.153
Ru 0.828 0.000 0.847
S 0.250 0.250 0.500
S 0.250 0.750 0.500
S 0.750 0.250 0.500
S 0.750 0.750 0.500
N 0.226 0.000 0.884
N 0.274 0.500 0.116
N 0.726 0.500 0.884
N 0.774 0.000 0.116
```

Values from the calculation:
- Crystal system: monoclinic
- Uncorrected energy: -77.50 eV for the cell shown
- Energy relative to the elements, uncorrected: 0.78 eV/atom
- ρ: 6.3 Mg/m³
- Total moment: 0.000 μB/atom
- Space group: No. 12

=====

3.
Density functional theory data (GGA-PBE) for a geometry-optimized Nd8Ge5Br structure. Values from VASP.

Cell and atoms, written as Quantum ESPRESSO input:
```
&SYSTEM
  ibrav = 0, nat = 14, ntyp = 3
/
ATOMIC_SPECIES
Nd 144.24 Nd.upf
Ge 72.64 Ge.upf
Br 79.90 Br.upf
CELL_PARAMETERS angstrom
-4.579 4.579 4.583
4.579 -4.579 4.583
4.579 4.579 -4.583
ATOMIC_POSITIONS crystal
Nd 0.234 0.488 0.605
Nd 0.371 0.766 0.253
Nd 0.372 0.254 0.258
Nd 0.512 0.118 0.747
Nd 0.746 0.004 0.118
Nd 0.882 0.629 0.395
Nd 0.886 0.628 0.882
Nd 0.996 0.114 0.742
Ge 0.001 0.379 0.124
Ge 0.123 0.999 0.378
Ge 0.255 0.877 0.876
Ge 0.621 0.745 0.622
Ge 0.750 0.250 0.500
Br 0.500 0.500 0.000
```

Values from the calculation:
- Crystal system: tetragonal
- Uncorrected energy: -74.69 eV for the cell shown
- Energy relative to the elements, uncorrected: -0.84 eV/atom
- ρ: 6.9 Mg/m³
- Total moment: 0.000 μB/atom
- Space group: No. 82

=====

4.
Density functional theory data (GGA-PBE) for a geometry-optimized Ce2HgS6 structure. Values from VASP.

Cell and atoms, written as Quantum ESPRESSO input:
```
&SYSTEM
  ibrav = 0, nat = 18, ntyp = 3
/
ATOMIC_SPECIES
Ce 140.12 Ce.upf
Hg 200.59 Hg.upf
S 32.06 S.upf
CELL_PARAMETERS angstrom
6.403 0.000 0.000
0.000 6.403 0.000
0.000 0.000 12.119
ATOMIC_POSITIONS crystal
Ce 0.000 0.000 0.169
Ce 0.000 0.000 0.831
Ce 0.500 0.500 0.331
Ce 0.500 0.500 0.669
Hg 0.000 0.000 0.500
Hg 0.500 0.500 0.000
S 0.186 0.186 0.000
S 0.196 0.196 0.342
S 0.196 0.196 0.658
S 0.304 0.696 0.158
S 0.304 0.696 0.842
S 0.314 0.686 0.500
S 0.686 0.314 0.500
S 0.696 0.304 0.158
S 0.696 0.304 0.842
S 0.804 0.804 0.342
S 0.804 0.804 0.658
S 0.814 0.814 0.000
```

Values from the calculation:
- Crystal system: tetragonal
- Uncorrected energy: -88.70 eV for the cell shown
- Energy relative to the elements, uncorrected: -0.82 eV/atom
- ρ: 4.5 Mg/m³
- Total moment: 0.000 μB/atom
- Space group: No. 136